[1]
Material: Ca4NdS5
Method: DFT, PBE-GGA
State: optimized geometry

Cell and atoms, written as POSCAR:
```
Ca4NdS5
1.0
-2.021 2.021 14.336
2.021 -2.021 14.336
2.021 2.021 -14.336
Ca Nd S
4 1 5
Direct
0.101 0.101 0.000
0.300 0.300 0.000
0.700 0.700 0.000
0.899 0.899 0.000
0.500 0.500 0.000
0.000 0.000 0.000
0.200 0.200 0.000
0.399 0.399 0.000
0.601 0.601 0.000
0.800 0.800 0.000
```

Summary:
Space-group type: I4/mmm
Crystal system: tetragonal
Formation energy (no corrections), kJ/mol of formula units: -2042
E, eV/atom: -5.458
Theoretical density, g/cm³: 3.3
Spin magnetization, μB per formula unit: 0.0
DOS(E_F), states/eV/f.u.: 1.75

***

[2]
Material: Ca3Nd5S8
Method: DFT, PBE-GGA
State: optimized geometry

Cell and atoms, written as POSCAR:
```
Ca3Nd5S8
1.0
4.040 2.332 6.671
-4.040 2.332 6.671
0.000 -4.665 6.671
Ca Nd S
3 5 8
Direct
0.000 0.500 0.500
0.500 0.000 0.500
0.500 0.500 0.000
0.000 0.000 0.000
0.000 0.000 0.500
0.000 0.500 0.000
0.500 0.000 0.000
0.500 0.500 0.500
0.250 0.250 0.744
0.250 0.744 0.250
0.252 0.252 0.252
0.256 0.750 0.750
0.744 0.250 0.250
0.748 0.748 0.748
0.750 0.256 0.750
0.750 0.750 0.256
```

Summary:
Space-group type: R-3m
Crystal system: trigonal
Formation energy (no corrections), kJ/mol of formula units: -3159
E, eV/atom: -5.975
Theoretical density, g/cm³: 4.8
Spin magnetization, μB per formula unit: 0.0
DOS(E_F), states/eV/f.u.: 7.55

***

[3]
Material: CaNd4S4
Method: DFT, PBE-GGA
State: optimized geometry

Cell and atoms, written as POSCAR:
```
CaNd4S4
1.0
6.729 -2.014 0.000
6.729 2.014 0.000
-4.939 0.000 8.570
Ca Nd S
1 4 4
Direct
0.000 0.000 0.000
0.199 0.199 0.795
0.398 0.398 0.601
0.602 0.602 0.399
0.801 0.801 0.205
0.197 0.197 0.298
0.400 0.400 0.096
0.600 0.600 0.904
0.803 0.803 0.702
```

Summary:
Space-group type: C2/m
Crystal system: monoclinic
Formation energy (no corrections), kJ/mol of formula units: -1543
E, eV/atom: -5.952
Theoretical density, g/cm³: 5.3
Spin magnetization, μB per formula unit: 0.0
DOS(E_F), states/eV/f.u.: 5.15

***

[4]
Material: CaNd4S6
Method: DFT, PBE-GGA
State: optimized geometry

Cell and atoms, written as POSCAR:
```
CaNd4S6
1.0
2.006 -6.721 0.000
2.006 6.721 0.000
0.000 0.000 20.588
Ca Nd S
2 8 12
Direct
0.156 0.844 0.750
0.844 0.156 0.250
0.094 0.906 0.133
0.094 0.906 0.367
0.363 0.637 0.042
0.363 0.637 0.458
0.637 0.363 0.542
0.637 0.363 0.958
0.906 0.094 0.633
0.906 0.094 0.867
0.000 0.000 0.000
0.000 0.000 0.500
0.197 0.803 0.250
0.272 0.728 0.587
0.272 0.728 0.913
0.454 0.546 0.167
0.454 0.546 0.333
0.546 0.454 0.667
0.546 0.454 0.833
0.728 0.272 0.087
0.728 0.272 0.413
0.803 0.197 0.750
```

Summary:
Space-group type: Cmcm
Crystal system: orthorhombic
Formation energy (no corrections), kJ/mol of formula units: -2149
E, eV/atom: -6.192
Theoretical density, g/cm³: 4.8
Spin magnetization, μB per formula unit: 0.0
DOS(E_F), states/eV/f.u.: 3.31

***

[5]
Material: Ca5Nd3S8
Method: DFT, PBE-GGA
State: optimized geometry

Cell and atoms, written as POSCAR:
```
Ca5Nd3S8
1.0
4.035 2.329 6.644
-4.035 2.329 6.644
0.000 -4.659 6.644
Ca Nd S
5 3 8
Direct
0.000 0.000 0.000
0.000 0.500 0.500
0.500 0.000 0.500
0.500 0.500 0.000
0.500 0.500 0.500
0.000 0.000 0.500
0.000 0.500 0.000
0.500 0.000 0.000
0.250 0.250 0.747
0.250 0.747 0.250
0.252 0.252 0.252
0.253 0.750 0.750
0.747 0.250 0.250
0.748 0.748 0.748
0.750 0.253 0.750
0.750 0.750 0.253
```

Summary:
Space-group type: R-3m
Crystal system: trigonal
Formation energy (no corrections), kJ/mol of formula units: -3206
E, eV/atom: -5.660
Theoretical density, g/cm³: 3.9
Spin magnetization, μB per formula unit: 0.0
DOS(E_F), states/eV/f.u.: 4.42

***

[6]
Material: CaNd4S5
Method: DFT, PBE-GGA
State: optimized geometry

Cell and atoms, written as POSCAR:
```
CaNd4S5
1.0
-4.539 4.539 2.874
4.539 -4.539 2.874
4.539 4.539 -2.874
Ca Nd S
1 4 5
Direct
0.000 0.000 0.000
0.199 0.400 0.599
0.400 0.801 0.201
0.600 0.199 0.799
0.801 0.600 0.401
0.098 0.706 0.804
0.294 0.098 0.392
0.500 0.500 0.000
0.706 0.902 0.608
0.902 0.294 0.196
```

Summary:
Space-group type: I4/m
Crystal system: tetragonal
Formation energy (no corrections), kJ/mol of formula units: -1965
E, eV/atom: -6.208
Theoretical density, g/cm³: 5.5
Spin magnetization, μB per formula unit: 0.0
DOS(E_F), states/eV/f.u.: 4.24

***

[7]
Material: Ca3Nd4S8
Method: DFT, PBE-GGA
State: optimized geometry

Cell and atoms, written as POSCAR:
```
Ca3Nd4S8
1.0
5.725 -5.736 0.000
5.725 5.736 0.000
-5.712 0.000 5.755
Ca Nd S
3 4 8
Direct
0.000 0.000 0.000
0.000 0.500 0.000
0.500 0.000 0.000
0.000 0.000 0.500
0.000 0.500 0.500
0.500 0.000 0.500
0.500 0.500 0.000
0.247 0.247 0.992
0.248 0.248 0.498
0.248 0.752 0.000
0.248 0.752 0.500
0.752 0.248 0.000
0.752 0.248 0.500
0.752 0.752 0.502
0.753 0.753 0.008
```

Summary:
Space-group type: C2/m
Crystal system: monoclinic
Formation energy (no corrections), kJ/mol of formula units: -2981
E, eV/atom: -5.932
Theoretical density, g/cm³: 4.2
Spin magnetization, μB per formula unit: 0.0
DOS(E_F), states/eV/f.u.: 3.96

***

[8]
Material: CaNdSc2S4
Method: DFT, PBE-GGA
State: optimized geometry

Cell and atoms, written as POSCAR:
```
CaNdSc2S4
1.0
6.699 0.000 0.000
0.000 3.834 0.000
-2.187 0.000 6.359
Ca Nd Sc S
1 1 2 4
Direct
0.000 0.000 0.000
0.500 0.500 0.000
0.000 0.500 0.500
0.500 0.000 0.500
0.236 0.000 0.725
0.253 0.500 0.272
0.747 0.500 0.728
0.764 0.000 0.275
```

Summary:
Space-group type: P2/m
Crystal system: monoclinic
Formation energy (no corrections), kJ/mol of formula units: -1499
E, eV/atom: -6.435
Theoretical density, g/cm³: 4.1
Spin magnetization, μB per formula unit: 0.0
DOS(E_F), states/eV/f.u.: 3.34